# 1
Ca7Mg2Hg2 | PBE-GGA | optimized geometry

Unit cell a=7.361 b=7.840 c=7.361 alpha=89.99 beta=109.41 gamma=90.01
Fractional coordinates of all 11 atoms:
Ca 0.000 0.274 0.500
Ca 0.500 0.726 0.000
Ca 0.000 0.726 0.500
Ca 0.500 0.274 0.000
Ca 0.000 0.000 0.000
Ca 0.500 0.752 0.500
Ca 0.500 0.248 0.500
Mg 0.828 0.500 0.828
Mg 0.172 0.500 0.172
Hg 0.713 0.000 0.287
Hg 0.287 0.000 0.713

Results
The formation energy comes out at -96 meV/atom. The total DFT energy (no corrections) is -18.9 eV/f.u.

=====

# 2
Mn2V4N | PBE-GGA | optimized geometry

Unit cell a=3.809 b=3.809 c=6.553 alpha=73.11 beta=73.11 gamma=90.00
Fractional coordinates of all 7 atoms:
N 0.000 0.000 0.000
Mn 0.359 0.359 0.283
Mn 0.641 0.641 0.717
V 0.181 0.181 0.638
V 0.819 0.819 0.362
V 0.000 0.500 0.000
V 0.500 0.000 0.000

Results
The total DFT energy (no corrections) is -63.4 eV/f.u.

=====

# 3
Na2YBiF | PBE-GGA | optimized geometry

Unit cell a=4.626 b=4.626 c=5.287 alpha=90.00 beta=90.00 gamma=90.00
Fractional coordinates of all 5 atoms:
Y 0.000 0.000 0.500
Na 0.000 0.500 0.000
Na 0.500 0.000 0.000
Bi 0.500 0.500 0.500
F 0.000 0.000 0.000

Results
The total DFT energy (no corrections) is -21.1 eV/f.u.

=====

# 4
NdHoAgIr | PBE-GGA | optimized geometry

Unit cell a=5.048 b=5.048 c=5.048 alpha=60.00 beta=60.00 gamma=60.00
Fractional coordinates of all 4 atoms:
Ir 0.750 0.750 0.750
Nd 0.500 0.500 0.500
Ho 0.000 0.000 0.000
Ag 0.250 0.250 0.250

Results
The formation energy comes out at -513 meV/atom. The total DFT energy (no corrections) is -23.1 eV/f.u.

=====

# 5
CePrLu2 | PBE-GGA | optimized geometry

Unit cell a=3.529 b=3.529 c=11.585 alpha=81.24 beta=81.24 gamma=60.00
Last column: magnetic moment on the atom in μB.
Fractional coordinates of all 4 atoms:
Pr 0.500 0.500 0.500  0.00
Lu 0.748 0.748 0.756  0.01
Lu 0.252 0.252 0.244  0.01
Ce 0.000 0.000 0.000  0.57

Results
The value obtained for the offset from the most stable computed form is 0.000 eV/atom. The formation energy comes out at 58 meV/atom. The total DFT energy (no corrections) is -19.5 eV/f.u.

=====

# 6
CdSn | PBE-GGA | optimized geometry

Unit cell a=6.558 b=6.558 c=6.558 alpha=90.00 beta=90.00 gamma=90.00
Fractional coordinates of all 8 atoms:
Cd 0.250 0.250 0.250
Cd 0.250 0.750 0.750
Cd 0.750 0.250 0.750
Cd 0.750 0.750 0.250
Sn 0.000 0.000 0.000
Sn 0.000 0.500 0.500
Sn 0.500 0.000 0.500
Sn 0.500 0.500 0.000

Results
The formation energy comes out at 385 meV/atom. The total DFT energy (no corrections) is -4.1 eV/f.u.

=====

What did the sixth record say?
CdSn | PBE-GGA | optimized geometry

Unit cell a=6.558 b=6.558 c=6.558 alpha=90.00 beta=90.00 gamma=90.00
Fractional coordinates of all 8 atoms:
Cd 0.250 0.250 0.250
Cd 0.250 0.750 0.750
Cd 0.750 0.250 0.750
Cd 0.750 0.750 0.250
Sn 0.000 0.000 0.000
Sn 0.000 0.500 0.500
Sn 0.500 0.000 0.500
Sn 0.500 0.500 0.000

Results
The formation energy comes out at 385 meV/atom. The total DFT energy (no corrections) is -4.1 eV/f.u.